CsCd2Pb3: optimized geometry, GGA-PBE.

Values from the calculation:
Its space-group type is Cmcm. As for the magnetization: 0.00 Bohr magnetons per cell. The uncorrected energy comes out at -28.39 eV/cell. Its formation energy from the elements is -1.487 kcal/mol of atoms.

Lattice parameters (Å, degrees): 8.769 8.769 5.794 90.00 90.00 78.44
Positions (direct):
Cs 0.164 0.836 0.750
Cs 0.836 0.164 0.250
Cd 0.284 0.284 0.000
Cd 0.284 0.284 0.500
Cd 0.716 0.716 0.000
Cd 0.716 0.716 0.500
Pb 0.041 0.578 0.250
Pb 0.422 0.959 0.250
Pb 0.431 0.569 0.250
Pb 0.569 0.431 0.750
Pb 0.578 0.041 0.750
Pb 0.959 0.422 0.750

Cs2CdPb2: optimized geometry, GGA-PBE.

Values from the calculation:
Its space-group type is I4/mmm. As for the magnetization: 0.00 Bohr magnetons per cell. The uncorrected energy comes out at -9.68 eV/cell. The calculation puts the energy relative to the lowest polymorph listed for this composition at 170 meV/atom. Its formation energy from the elements is 1.653 kcal/mol of atoms.

Lattice parameters (Å, degrees): 7.108 7.108 7.108 113.79 113.79 101.14
Positions (direct):
Cs 0.250 0.750 0.500
Cs 0.750 0.250 0.500
Cd 0.000 0.000 0.000
Pb 0.342 0.342 0.000
Pb 0.658 0.658 0.000